A geometry-optimized FePt2Cl structure. Source: the Alexandria database, functional PBE.

a b c (Å): 5.5376 8.1333 2.7958
angles (deg): 90.00 90.00 90.00
Last column: nearest neighbours and their distance in Å.
Fractional coordinates of all 8 atoms:
Fe: 0.0000 0.0000 0.0000  2 Cl 2.77, 2 Fe 2.80, 8 Pt 2.83
Fe: 0.5000 0.5000 0.0000  2 Cl 2.77, 2 Fe 2.80, 8 Pt 2.83
Pt: 0.2500 0.2500 0.5000  4 Pt 2.77-2.80, 4 Cl 2.83, 4 Fe 2.83
Pt: 0.2500 0.7500 0.5000  4 Pt 2.77-2.80, 4 Cl 2.83, 4 Fe 2.83
Pt: 0.7500 0.2500 0.5000  4 Pt 2.77-2.80, 4 Cl 2.83, 4 Fe 2.83
Pt: 0.7500 0.7500 0.5000  4 Pt 2.77-2.80, 4 Fe 2.83, 4 Cl 2.83
Cl: 0.0000 0.5000 0.0000  2 Fe 2.77, 2 Cl 2.80, 8 Pt 2.83
Cl: 0.5000 0.0000 0.0000  2 Fe 2.77, 2 Cl 2.80, 8 Pt 2.83

Calculated values
V: 125.9 Å³ per cell
E_form (uncorrected): 0.522 eV/atom
Space-group type: Cmmm (65)